Density functional theory data (GGA-PBE) for a relaxed structure of TaAl2Ag.

Lattice parameters (Å, degrees): 4.940 4.940 2.871 90.00 90.00 105.68
Element x y z (fractional)
1 Al 0.000 0.000 0.000
2 Al 0.500 0.500 0.000
3 Ag 0.000 0.500 0.500
4 Ta 0.500 0.000 0.500

Values from the calculation:
The value obtained for the density of states at the Fermi level is 0.8 states/eV/f.u. Its raw total energy is -5.6670 eV/atom. Its offset from the most stable computed form is 2.0 kJ/mol of atoms. As for the size of the total moment: 0.00 μB/f.u.

=====

Density functional theory data (GGA-PBE) for a relaxed structure of TmTl3Cr2Te6.

Lattice parameters (Å, degrees): 7.274 7.274 8.372 98.46 98.46 119.75
Last column: magnetic moment on the atom in μB.
Element x y z (fractional)
1 Tm 0.000 0.000 0.000  0.04
2 Tl 0.155 0.845 0.500  -0.01
3 Tl 0.845 0.155 0.500  -0.01
4 Tl 0.500 0.500 0.500  -0.01
5 Cr 0.332 0.668 0.000  3.15
6 Cr 0.668 0.332 0.000  3.15
7 Te 0.934 0.576 0.803  -0.09
8 Te 0.704 0.704 0.188  -0.09
9 Te 0.066 0.424 0.197  -0.09
10 Te 0.576 0.934 0.803  -0.09
11 Te 0.296 0.296 0.812  -0.09
12 Te 0.424 0.066 0.197  -0.09

Values from the calculation:
The value obtained for the density of states at the Fermi level is 2.4 states/eV/f.u. Its raw total energy is -4.6095 eV/atom. As for the size of the total moment: 6.16 μB/f.u.

=====

Copy entry 2 word for word.
Density functional theory data (GGA-PBE) for a relaxed structure of TmTl3Cr2Te6.

Lattice parameters (Å, degrees): 7.274 7.274 8.372 98.46 98.46 119.75
Last column: magnetic moment on the atom in μB.
Element x y z (fractional)
1 Tm 0.000 0.000 0.000  0.04
2 Tl 0.155 0.845 0.500  -0.01
3 Tl 0.845 0.155 0.500  -0.01
4 Tl 0.500 0.500 0.500  -0.01
5 Cr 0.332 0.668 0.000  3.15
6 Cr 0.668 0.332 0.000  3.15
7 Te 0.934 0.576 0.803  -0.09
8 Te 0.704 0.704 0.188  -0.09
9 Te 0.066 0.424 0.197  -0.09
10 Te 0.576 0.934 0.803  -0.09
11 Te 0.296 0.296 0.812  -0.09
12 Te 0.424 0.066 0.197  -0.09

Values from the calculation:
The value obtained for the density of states at the Fermi level is 2.4 states/eV/f.u. Its raw total energy is -4.6095 eV/atom. As for the size of the total moment: 6.16 μB/f.u.

=====

What is the raw total energy in the first record?
-5.6670 eV/atom